! PmErTe2 (PBE-GGA, optimized geometry); values from VASP
&SYSTEM
  ibrav = 0, nat = 4, ntyp = 3
/
ATOMIC_SPECIES
Pm 145.00 Pm.upf
Er 167.26 Er.upf
Te 127.60 Te.upf
ATOMIC_POSITIONS crystal
Pm 0.000 0.000 0.000
Er 0.826 0.826 0.826
Te 0.242 0.242 0.242
Te 0.418 0.418 0.418
CELL_PARAMETERS angstrom
2.132 1.231 7.640
-2.132 1.231 7.640
0.000 -2.462 7.640
! DFT total energy = -5.246 eV/atom
! formation energy (no corrections) = -1.35 eV/atom
! offset from the most stable computed form = 0 meV/atom
! space group = R3m